SrAg2SbSe4: optimized geometry, PBE.

a b c (Å): 8.581 8.581 8.112
angles (deg): 118.21 118.21 96.74
Atoms (fractional coordinates):
Sr (0.000, 0.500, 0.000)
Sr (0.000, 0.500, 0.500)
Se (0.244, 0.256, 0.512)
Se (0.306, 0.755, 0.531)
Se (0.694, 0.245, 0.469)
Se (0.244, 0.256, 0.988)
Se (0.745, 0.194, 0.969)
Se (0.255, 0.806, 0.031)
Se (0.756, 0.744, 0.012)
Se (0.756, 0.744, 0.488)
Sb (0.500, 0.500, 0.500)
Sb (0.000, 0.000, 0.000)
Ag (0.500, 0.500, 0.000)
Ag (0.500, 0.000, 0.000)
Ag (0.000, 0.000, 0.500)
Ag (0.500, 0.000, 0.500)

Values from the calculation:
Size of the total moment = 0.00 Bohr magnetons per cell
Energy relative to the elements, uncorrected = -51.88 kJ per mole of atoms
Space group = No. 74